A plane-wave DFT calculation with PBE was carried out for a geometry-optimized SrTl6Br8 structure.

Output
uncorrected formation energy: -1047 meV per atom
V: 36.71 Å³/atom
magnetization: 0.00 μB/f.u.
total energy: -45.0 eV for the cell shown
D(E_F): 0.00 states/eV per cell

a b c (Å): 11.1565 11.1565 5.1087
angles (deg): 90.00 90.00 120.00
Closest atoms and distances in Å follow each position.
Space group P-3 (No. 147)
Symmetry-distinct sites (fractional):
1 Sr 0.0000 0.0000 0.0000 [1 per cell]  6 Br 3.14
2 Tl 0.1114 0.4554 0.7537 [6 per cell]  3 Br 3.08-3.32
3 Br 0.0267 0.7563 0.7529 [6 per cell]  3 Tl 3.08-3.32, 1 Sr 3.14
4 Br 0.3333 0.6667 0.2413 [2 per cell]  6 Tl 3.47-3.56

---

A plane-wave DFT calculation with PBE was carried out for a geometry-optimized SrTlBr4 structure.

Output
uncorrected formation energy: -544 meV per atom
V: 33.53 Å³/atom
magnetization: 1.03 μB/f.u.
total energy: -56.0 eV for the cell shown
D(E_F): 21.06 states/eV per cell

a b c (Å): 9.3012 9.3012 9.3012
angles (deg): 90.00 90.00 90.00
Closest atoms and distances in Å follow each position.
Space group F-43m (No. 216)
Symmetry-distinct sites (fractional):
1 Sr 0.0000 0.0000 0.0000 [4 per cell]  12 Br 3.86, 4 Tl 4.03
2 Tl 0.2500 0.2500 0.7500 [4 per cell]  12 Br 3.86, 4 Sr 4.03
3 Br 0.1254 0.1254 0.3746 [16 per cell]  6 Br 3.28-3.30

---

A plane-wave DFT calculation with PBE was carried out for a geometry-optimized SrTl2Br2 structure.

Output
uncorrected formation energy: -567 meV per atom
V: 38.89 Å³/atom
relative energy among the computed polymorphs: 0.341 eV per atom
magnetization: 0.00 μB/f.u.
total energy: -25.2 eV for the cell shown
D(E_F): 0.01 states/eV per cell

a b c (Å): 5.4117 5.4117 13.2788
angles (deg): 90.00 90.00 90.00
Closest atoms and distances in Å follow each position.
Space group I4/mmm (No. 139)
Symmetry-distinct sites (fractional):
1 Sr 0.0000 0.0000 0.0000 [2 per cell]  8 Tl 4.15, 8 Br 4.28
2 Tl 0.0000 0.0000 0.3788 [4 per cell]  4 Br 3.20, 1 Tl 3.22
3 Br 0.0000 0.5000 0.2500 [4 per cell]  4 Tl 3.20

---

A plane-wave DFT calculation with PBE was carried out for a geometry-optimized SrTlBr3 structure.

Output
uncorrected formation energy: -1596 meV per atom
V: 37.45 Å³/atom
magnetization: 0.00 μB/f.u.
total energy: -68.2 eV for the cell shown
D(E_F): 0.00 states/eV per cell

a b c (Å): 19.6074 4.3953 9.2382
angles (deg): 90.00 109.83 90.00
Closest atoms and distances in Å follow each position.
Space group Cm (No. 8)
Symmetry-distinct sites (fractional):
1 Sr 0.0000 0.0000 0.0000 [2 per cell]  7 Br 3.11-3.27
2 Sr 0.2163 0.5000 0.4823 [2 per cell]  6 Br 3.04-3.11
3 Tl 0.2592 0.0000 0.9862 [2 per cell]  4 Br 3.20-3.54
4 Tl 0.4513 0.5000 0.4725 [2 per cell]  7 Br 3.30-3.52
5 Br 0.1284 0.5000 0.1347 [2 per cell]  3 Sr 3.09-3.25
6 Br 0.1334 0.0000 0.5782 [2 per cell]  2 Sr 3.04, 1 Tl 3.37
7 Br 0.3024 0.0000 0.3910 [2 per cell]  2 Sr 3.06
8 Br 0.3248 0.5000 0.8175 [2 per cell]  2 Sr 3.11-3.27, 2 Tl 3.20
9 Br 0.4424 0.0000 0.1736 [2 per cell]  2 Sr 3.15, 3 Tl 3.42-3.49
10 Br 0.4893 0.0000 0.7555 [2 per cell]  2 Sr 3.11, 2 Tl 3.30

---

A plane-wave DFT calculation with PBE was carried out for a geometry-optimized Sr2TlBr structure.

Output
uncorrected formation energy: -763 meV per atom
V: 40.80 Å³/atom
relative energy among the computed polymorphs: 0.199 eV per atom
magnetization: 0.00 μB/f.u.
total energy: -41.8 eV for the cell shown
D(E_F): 0.78 states/eV per cell

a b c (Å): 8.5249 8.5249 8.9830
angles (deg): 90.00 90.00 90.00
Closest atoms and distances in Å follow each position.
Space group I-42d (No. 122)
Symmetry-distinct sites (fractional):
1 Sr 0.2312 0.2500 0.1250 [8 per cell]  2 Br 3.11, 2 Tl 3.32
2 Tl 0.0000 0.0000 0.5000 [4 per cell]  4 Sr 3.32
3 Br 0.0000 0.0000 0.0000 [4 per cell]  4 Sr 3.11

---

A plane-wave DFT calculation with PBE was carried out for a geometry-optimized SrTl2Br2 structure.

Output
uncorrected formation energy: -908 meV per atom
V: 36.76 Å³/atom
relative energy among the computed polymorphs: 0.000 eV per atom
magnetization: 0.00 μB/f.u.
total energy: -28.6 eV for the cell shown
D(E_F): 2.56 states/eV per cell

a b c (Å): 7.9825 7.9825 5.7685
angles (deg): 90.00 90.00 90.00
Closest atoms and distances in Å follow each position.
Space group P4/mbm (No. 127)
Symmetry-distinct sites (fractional):
1 Sr 0.0000 0.0000 0.0000 [2 per cell]  4 Br 2.98
2 Tl 0.1777 0.3223 0.5000 [4 per cell]  2 Br 3.39
3 Br 0.1648 0.6648 0.0000 [4 per cell]  2 Sr 2.98